Entry from the Alexandria database: a geometry-optimized Li2TaPd4 structure (PBE-GGA).

Cell: 5.237 5.237 5.237 Å, 108.94 108.94 110.54°
Atoms (fractional coordinates):
Li  0.000  0.500  0.500
Li  0.500  0.000  0.500
Ta  0.000  0.000  0.000
Pd  0.000  0.000  0.500
Pd  0.000  0.500  0.000
Pd  0.500  0.000  0.000
Pd  0.500  0.500  0.500

Values from the calculation:
offset from the most stable computed form: 156 meV/atom
space group: I4/mmm (139)
V: 15.791 A^3/atom

=====

Entry from the Alexandria database: a geometry-optimized SrY2Hf2 structure (PBE-GGA).

Cell: 9.337 9.337 9.337 Å, 153.52 153.52 37.80°
Atoms (fractional coordinates):
Sr  0.000  0.000  0.000
Y  0.387  0.387  0.000
Y  0.613  0.613  0.000
Hf  0.250  0.750  0.500
Hf  0.750  0.250  0.500

Values from the calculation:
offset from the most stable computed form: 242 meV/atom
space group: I4/mmm (139)
V: 32.313 A^3/atom

=====

Entry from the Alexandria database: a geometry-optimized SmGdSb structure (PBE-GGA).

Cell: 5.104 5.104 4.089 Å, 90.00 90.00 120.00°
Atoms (fractional coordinates):
Sm  0.000  0.000  0.000
Gd  0.667  0.333  0.533
Sb  0.333  0.667  0.311

Values from the calculation:
offset from the most stable computed form: 227 meV/atom
space group: P3m1 (156)
V: 30.754 A^3/atom

=====

Entry from the Alexandria database: a geometry-optimized Pm5PrEr2 structure (PBE-GGA).

Cell: 7.243 14.486 5.110 Å, 90.00 90.00 90.00°
Atoms (fractional coordinates):
Pm  0.000  0.000  0.000
Pm  0.001  0.249  0.000
Pm  0.248  0.874  0.500
Pm  0.252  0.374  0.500
Pm  0.499  0.749  0.000
Pm  0.500  0.500  0.000
Pm  0.501  0.251  0.000
Pm  0.748  0.626  0.500
Pm  0.752  0.126  0.500
Pm  0.999  0.751  0.000
Pr  0.000  0.500  0.000
Pr  0.500  0.000  0.000
Er  0.249  0.625  0.500
Er  0.251  0.125  0.500
Er  0.749  0.875  0.500
Er  0.751  0.375  0.500

Values from the calculation:
offset from the most stable computed form: 0 meV/atom
space group: Pbam (55)
V: 33.506 A^3/atom